Record 1
This record from OQMD via LeMat-Bulk describes crystalline Ga2AgCl8 at its relaxed geometry. The functional is PBE. Values from VASP.

Quantum ESPRESSO input file:
```
&SYSTEM
  ibrav = 0, nat = 11, ntyp = 3
/
ATOMIC_SPECIES
Ag 107.87 Ag.upf
Cl 35.45 Cl.upf
Ga 69.72 Ga.upf
ATOMIC_POSITIONS angstrom
Ag 0.000 0.000 0.000
Cl -4.478 1.828 -2.778
Cl 0.211 -0.048 -5.574
Cl -3.112 1.912 -6.504
Cl -1.803 -0.880 -2.434
Cl -5.227 0.372 -9.019
Cl -3.918 -2.420 -4.949
Cl -7.241 -0.460 -5.879
Cl -2.552 -2.335 -8.674
Ga -4.135 2.130 -8.367
Ga -2.894 -2.638 -3.085
CELL_PARAMETERS angstrom
-5.699 4.007 -2.829
1.712 1.042 -7.247
-3.043 -5.557 -1.376
```

---

Record 2
This record from OQMD via LeMat-Bulk describes crystalline Ta4ZnN3 at its relaxed geometry. The functional is PBE. Values from VASP.

Quantum ESPRESSO input file:
```
&SYSTEM
  ibrav = 0, nat = 16, ntyp = 3
/
ATOMIC_SPECIES
N 14.01 N.upf
Ta 180.95 Ta.upf
Zn 65.41 Zn.upf
ATOMIC_POSITIONS angstrom
N 0.000 0.000 0.000
N -2.991 -0.965 0.251
N -9.331 0.487 2.743
N -11.092 2.540 4.361
N -13.431 1.601 6.254
N -19.771 3.053 8.746
Ta -1.134 -1.216 1.419
Ta -3.548 0.813 1.395
Ta -7.544 1.728 2.966
Ta -9.884 0.789 4.860
Ta -12.877 1.299 4.138
Ta -14.640 3.353 5.756
Ta -18.637 4.268 7.327
Ta -21.628 3.303 7.578
Zn -5.509 -0.214 3.139
Zn -17.253 2.301 5.858
CELL_PARAMETERS angstrom
-1.266 -1.535 -2.326
0.689 -1.458 2.601
-22.185 5.081 8.722
```

---

Record 3
This record from OQMD via LeMat-Bulk describes crystalline Y3HgC at its relaxed geometry. The functional is PBE. Values from VASP.

Quantum ESPRESSO input file:
```
&SYSTEM
  ibrav = 0, nat = 10, ntyp = 3
/
ATOMIC_SPECIES
C 12.01 C.upf
Hg 200.59 Hg.upf
Y 88.91 Y.upf
ATOMIC_POSITIONS angstrom
C 0.000 0.000 3.471
C 3.487 0.000 0.000
Hg 0.000 2.425 0.055
Hg 3.487 2.425 3.416
Y -1.744 4.490 1.735
Y 0.000 2.425 3.982
Y 1.744 0.360 1.735
Y 1.744 4.490 1.735
Y 3.487 2.425 -0.512
Y 1.744 5.210 -1.735
CELL_PARAMETERS angstrom
-3.487 4.850 3.471
3.487 -4.850 3.471
3.487 4.850 -3.471
```

Output
Energy above the most stable polymorph in this dataset = 0.000 eV/atom

---

Record 4
This record from OQMD via LeMat-Bulk describes crystalline Gd2YZn4Ga2 at its relaxed geometry. The functional is PBE. Values from VASP.

Quantum ESPRESSO input file:
```
&SYSTEM
  ibrav = 0, nat = 9, ntyp = 4
/
ATOMIC_SPECIES
Ga 69.72 Ga.upf
Gd 157.25 Gd.upf
Y 88.91 Y.upf
Zn 65.41 Zn.upf
ATOMIC_POSITIONS angstrom
Ga 3.697 -2.537 -0.885
Ga 0.889 -4.260 1.394
Gd 2.808 0.333 -0.727
Gd -0.732 -1.840 2.146
Y 2.878 -2.089 1.966
Zn 1.002 -2.462 -0.627
Zn 5.184 -4.144 0.720
Zn 4.942 -3.587 3.376
Zn 3.163 -5.384 2.360
CELL_PARAMETERS angstrom
-0.364 -3.204 -2.872
6.701 0.799 -1.740
-1.753 -4.391 5.121
```

---

Record 5
This record from OQMD via LeMat-Bulk describes crystalline SrHfMgPd at its relaxed geometry. The functional is PBE. Values from VASP.

Quantum ESPRESSO input file:
```
&SYSTEM
  ibrav = 0, nat = 4, ntyp = 4
/
ATOMIC_SPECIES
Hf 178.49 Hf.upf
Mg 24.30 Mg.upf
Pd 106.42 Pd.upf
Sr 87.62 Sr.upf
ATOMIC_POSITIONS angstrom
Hf 1.753 1.753 1.753
Mg 5.258 5.258 5.258
Pd 3.505 3.505 3.505
Sr 0.000 0.000 0.000
CELL_PARAMETERS angstrom
0.000 3.505 3.505
3.505 0.000 3.505
3.505 3.505 0.000
```

Output
Energy above the most stable polymorph in this dataset = 0.057 eV/atom

---

Record 6
This record from OQMD via LeMat-Bulk describes crystalline NdPaNi at its relaxed geometry. The functional is PBE. Values from VASP.

Quantum ESPRESSO input file:
```
&SYSTEM
  ibrav = 0, nat = 3, ntyp = 3
/
ATOMIC_SPECIES
Nd 144.24 Nd.upf
Ni 58.69 Ni.upf
Pa 231.04 Pa.upf
ATOMIC_POSITIONS angstrom
Nd 1.662 1.662 1.662
Ni 0.000 0.000 0.000
Pa 4.985 4.985 4.985
CELL_PARAMETERS angstrom
0.000 3.324 3.324
3.324 0.000 3.324
3.324 3.324 0.000
```

Output
Calculated formation energy = 259 meV/atom
Energy above the most stable polymorph in this dataset = 0.000 eV/atom

---

Record 7
This record from OQMD via LeMat-Bulk describes crystalline LiScNiTe3 at its relaxed geometry. The functional is PBE. Values from VASP.

Quantum ESPRESSO input file:
```
&SYSTEM
  ibrav = 0, nat = 24, ntyp = 4
/
ATOMIC_SPECIES
Li 6.94 Li.upf
Ni 58.69 Ni.upf
Sc 44.96 Sc.upf
Te 127.60 Te.upf
ATOMIC_POSITIONS angstrom
Li -8.081 7.846 3.095
Li -2.903 5.407 0.564
Li -1.095 10.629 2.823
Li 4.083 8.190 0.292
Ni -6.411 7.055 0.909
Ni -1.080 4.151 2.377
Ni -2.918 11.885 1.009
Ni 2.414 8.980 2.477
Sc -6.726 4.573 2.780
Sc 0.624 5.819 0.358
Sc -4.621 10.216 3.028
Sc 2.728 11.463 0.606
Te -8.594 5.894 0.974
Te -3.538 3.269 2.479
Te -0.538 3.023 0.243
Te -4.842 6.946 2.818
Te -6.836 9.626 1.114
Te -1.125 6.618 2.549
Te -2.872 9.418 0.837
Te 2.838 6.410 2.272
Te 0.844 9.089 0.568
Te -3.460 13.013 3.143
Te -0.459 12.766 0.907
Te 4.596 10.141 2.412
CELL_PARAMETERS angstrom
-10.153 5.949 1.081
0.265 -0.275 4.005
6.023 10.224 0.303
```

Output
Energy above the most stable polymorph in this dataset = 0.056 eV/atom

---

Record 8
This record from OQMD via LeMat-Bulk describes crystalline SmFeC at its relaxed geometry. The functional is PBE. Values from VASP.

Quantum ESPRESSO input file:
```
&SYSTEM
  ibrav = 0, nat = 12, ntyp = 3
/
ATOMIC_SPECIES
C 12.01 C.upf
Fe 55.84 Fe.upf
Sm 150.36 Sm.upf
ATOMIC_POSITIONS angstrom
C 2.730 0.415 0.498
C 0.915 3.312 3.969
C 2.738 5.380 4.966
C 0.907 2.483 8.437
Fe 0.907 0.752 0.346
Fe 2.737 3.649 4.121
Fe 0.915 5.043 4.814
Fe 2.730 2.146 8.589
Sm 0.912 3.976 1.547
Sm 2.733 1.079 2.921
Sm 0.910 1.819 6.014
Sm 2.734 4.716 7.389
CELL_PARAMETERS angstrom
3.645 0.000 0.000
0.000 5.795 0.000
0.000 0.000 8.935
```

---

Record 9
This record from OQMD via LeMat-Bulk describes crystalline PuBPt at its relaxed geometry. The functional is PBE. Values from VASP.

Quantum ESPRESSO input file:
```
&SYSTEM
  ibrav = 0, nat = 3, ntyp = 3
/
ATOMIC_SPECIES
B 10.81 B.upf
Pt 195.08 Pt.upf
Pu 244.00 Pu.upf
ATOMIC_POSITIONS angstrom
B 1.551 1.551 1.551
Pt 0.000 0.000 0.000
Pu 4.653 4.653 4.653
CELL_PARAMETERS angstrom
0.000 3.102 3.102
3.102 0.000 3.102
3.102 3.102 0.000
```

Output
Energy above the most stable polymorph in this dataset = 0.428 eV/atom

---

Record 10
This record from OQMD via LeMat-Bulk describes crystalline DyEr3Tm2Bi2Os at its relaxed geometry. The functional is PBE. Values from VASP.

Quantum ESPRESSO input file:
```
&SYSTEM
  ibrav = 0, nat = 9, ntyp = 5
/
ATOMIC_SPECIES
Bi 208.98 Bi.upf
Dy 162.50 Dy.upf
Er 167.26 Er.upf
Os 190.23 Os.upf
Tm 168.93 Tm.upf
ATOMIC_POSITIONS angstrom
Bi 2.108 2.392 4.113
Bi 2.108 -2.392 4.113
Dy 2.108 0.000 1.920
Er 0.000 4.385 5.683
Er 0.000 0.000 5.063
Er 0.000 -4.385 5.683
Os 0.000 0.000 8.177
Tm 2.108 5.471 3.146
Tm 2.108 -5.471 3.146
CELL_PARAMETERS angstrom
4.216 0.000 0.000
0.000 7.138 4.104
0.000 -7.138 4.104
```

---

Record 11
This record from OQMD via LeMat-Bulk describes crystalline Gd2ErAl7Cu2 at its relaxed geometry. The functional is PBE. Values from VASP.

Quantum ESPRESSO input file:
```
&SYSTEM
  ibrav = 0, nat = 12, ntyp = 4
/
ATOMIC_SPECIES
Al 26.98 Al.upf
Cu 63.55 Cu.upf
Er 167.26 Er.upf
Gd 157.25 Gd.upf
ATOMIC_POSITIONS angstrom
Al 0.000 1.613 10.483
Al 1.397 0.807 14.989
Al -1.397 0.807 14.989
Al 0.000 0.000 12.736
Al 1.397 -0.807 10.483
Al -1.397 -0.807 10.483
Al 0.000 -1.613 14.989
Cu 0.000 0.000 8.542
Cu 0.000 0.000 16.930
Er 0.000 0.000 0.000
Gd 0.000 0.000 3.611
Gd 0.000 0.000 21.861
CELL_PARAMETERS angstrom
2.746 1.586 8.491
-2.746 1.586 8.491
0.000 -3.171 8.491
```

---

Record 12
This record from OQMD via LeMat-Bulk describes crystalline ZrB at its relaxed geometry. The functional is PBE. Values from VASP.

Quantum ESPRESSO input file:
```
&SYSTEM
  ibrav = 0, nat = 2, ntyp = 2
/
ATOMIC_SPECIES
B 10.81 B.upf
Zr 91.22 Zr.upf
ATOMIC_POSITIONS angstrom
B 0.000 0.000 0.000
Zr 2.455 2.455 2.455
CELL_PARAMETERS angstrom
0.000 2.455 2.455
2.455 0.000 2.455
2.455 2.455 0.000
```

---

| no. | uncorrected energy (eV per atom) | volume (Å³ per atom) |
| --- | --- | --- |
| 1 | -3.050 | 32.132 |
| 2 | -9.873 | 12.358 |
| 3 | -6.214 | 23.480 |
| 4 | -3.503 | 20.218 |
| 5 | -4.464 | 21.533 |
| 6 | -6.350 | 24.475 |
| 7 | -4.572 | 23.511 |
| 8 | -7.636 | 15.727 |
| 9 | -8.607 | 19.894 |
| 10 | -5.722 | 27.447 |
| 11 | -4.440 | 18.485 |
| 12 | -7.989 | 14.792 |